EuGdTh2 | GGA-PBE | relaxed

The calculation puts the energy above the most stable polymorph in this dataset at 0.092 eV per atom. The crystal system is tetragonal. Its formation energy is 0.97 eV/f.u.

It has space group P4/mmm (No. 123), with a = 4.242 Å, b = 4.242 Å, c = 7.453 Å, α = 90.00°, β = 90.00° and γ = 90.00°. The inequivalent atoms are Eu at (0.000, 0.000, 0.000), Gd at (0.000, 0.000, 0.500) and Th at (0.500, 0.500, 0.271).

InCuSeO5 | GGA-PBE | relaxed

The crystal system is monoclinic. As for the energy relative to the elements, uncorrected: -802 meV per atom.

It has space group C2/c (No. 15), with a = 8.059 Å, b = 8.635 Å, c = 7.619 Å, α = 90.00°, β = 118.49° and γ = 90.00°. The inequivalent atoms are In at (0.000, 0.000, 0.000), Cu at (0.000, 0.299, 0.250), Se at (0.000, 0.363, 0.750), O at (0.000, 0.083, 0.250), O at (0.001, 0.264, 0.950) and O at (0.177, 0.500, 0.341).